ReTcHg2Pb: optimized geometry, GGA-PBEsol.

The value obtained for the energy is -3.3866 eV per atom. The value obtained for the formation energy is 2.560 eV/atom. The density of states at the Fermi level is 4.737 states/eV per cell. The value obtained for the spin magnetization is 7.694 Bohr magnetons per cell. Its space-group type is P4/mmm (123).

Lattice parameters (Å, degrees): 5.3766 5.3766 5.2233 90.00 90.00 90.00
With the nearest neighbours (Å) after each atom.
Fractional positions:
1 Re 0.0000 0.0000 0.0000  8 Hg 3.75, 4 Tc 3.80
2 Tc 0.5000 0.5000 0.0000  2 Pb 2.61
3 Hg 0.0000 0.5000 0.5000  2 Pb 2.69
4 Hg 0.5000 0.0000 0.5000  2 Pb 2.69
5 Pb 0.5000 0.5000 0.5000  2 Tc 2.61, 4 Hg 2.69

---

NiIrW2: optimized geometry, GGA-PBEsol.

The value obtained for the energy is -10.9953 eV per atom. The value obtained for the formation energy is -0.096 eV/atom. The density of states at the Fermi level is 2.530 states/eV per cell. The value obtained for the spin magnetization is 0.000 Bohr magnetons per cell. Its space-group type is I4/mmm (139).

Lattice parameters (Å, degrees): 4.7291 4.7291 4.7291 132.89 132.89 68.82
With the nearest neighbours (Å) after each atom.
Fractional positions:
1 Ni 0.0000 0.0000 0.0000  4 Ir 2.67, 8 W 2.72
2 Ir 0.5000 0.5000 0.0000  4 Ni 2.67, 8 W 2.72
3 W 0.2500 0.7500 0.5000  4 W 2.67, 4 Ir 2.72, 4 Ni 2.72
4 W 0.7500 0.2500 0.5000  4 W 2.67, 4 Ir 2.72, 4 Ni 2.72

---

LiCa2Ni2: optimized geometry, GGA-PBEsol.

The value obtained for the energy is -3.7011 eV per atom. The value obtained for the formation energy is 0.009 eV/atom. The density of states at the Fermi level is 4.506 states/eV per cell. The value obtained for the spin magnetization is 0.000 Bohr magnetons per cell. Its space-group type is P4/mbm (127).

Lattice parameters (Å, degrees): 7.0715 7.0715 4.0077 90.00 90.00 90.00
With the nearest neighbours (Å) after each atom.
Fractional positions:
1 Li 0.0000 0.0000 0.0000  4 Ni 2.84
2 Li 0.5000 0.5000 0.0000  4 Ni 2.84
3 Ca 0.1747 0.3253 0.5000  6 Ni 2.89-2.91
4 Ca 0.3253 0.8253 0.5000  6 Ni 2.89-2.91
5 Ca 0.6747 0.1747 0.5000  6 Ni 2.89-2.91
6 Ca 0.8253 0.6747 0.5000  6 Ni 2.89-2.91
7 Ni 0.1143 0.6143 0.0000  1 Ni 2.29
8 Ni 0.3857 0.1143 0.0000  1 Ni 2.29
9 Ni 0.6143 0.8857 0.0000  1 Ni 2.29
10 Ni 0.8857 0.3857 0.0000  1 Ni 2.29

---

Cu2NiRu: optimized geometry, GGA-PBEsol.

The value obtained for the energy is -6.1172 eV per atom. The value obtained for the formation energy is 0.132 eV/atom. The density of states at the Fermi level is 3.343 states/eV per cell. The value obtained for the spin magnetization is 0.002 Bohr magnetons per cell. Its space-group type is R3m (160).

Lattice parameters (Å, degrees): 8.3649 8.3649 8.3649 17.66 17.66 17.66
With the nearest neighbours (Å) after each atom.
Fractional positions:
1 Cu 0.0000 0.0000 0.0000  3 Ni 2.50, 9 Cu 2.51-2.57
2 Cu 0.2511 0.2511 0.2511  9 Cu 2.51-2.57, 3 Ru 2.63
3 Ni 0.7480 0.7480 0.7480  3 Cu 2.50, 3 Ru 2.50, 6 Ni 2.57
4 Ru 0.4963 0.4963 0.4963  3 Ni 2.50, 6 Ru 2.57, 3 Cu 2.63

---

Dy2O3: optimized geometry, GGA-PBEsol.

The value obtained for the energy is -8.7784 eV per atom. The density of states at the Fermi level is 0.000 states/eV per cell. The value obtained for the spin magnetization is 0.001 Bohr magnetons per cell. Its space-group type is Ia-3 (206).

Lattice parameters (Å, degrees): 9.1290 9.1290 9.1290 109.47 109.47 109.47
With the nearest neighbours (Å) after each atom.
Fractional positions:
1 Dy 0.0000 0.0000 0.5000  6 O 2.27
2 Dy 0.0000 0.5000 0.0000  6 O 2.27
3 Dy 0.0326 0.7500 0.7826  6 O 2.24-2.32
4 Dy 0.2174 0.9674 0.2500  6 O 2.24-2.32
5 Dy 0.2500 0.2174 0.9674  6 O 2.24-2.32
6 Dy 0.2500 0.7174 0.4674  6 O 2.24-2.32
7 Dy 0.2826 0.5326 0.7500  6 O 2.24-2.32
8 Dy 0.4674 0.2500 0.7174  6 O 2.24-2.32
9 Dy 0.5000 0.0000 0.0000  6 O 2.27
10 Dy 0.5000 0.5000 0.5000  6 O 2.27
11 Dy 0.5326 0.7500 0.2826  6 O 2.24-2.32
12 Dy 0.7174 0.4674 0.2500  6 O 2.24-2.32
13 Dy 0.7500 0.2826 0.5326  6 O 2.24-2.32
14 Dy 0.7500 0.7826 0.0326  6 O 2.24-2.32
15 Dy 0.7826 0.0326 0.7500  6 O 2.24-2.32
16 Dy 0.9674 0.2500 0.2174  6 O 2.24-2.32
17 O 0.0114 0.0421 0.2717  4 Dy 2.24-2.32
18 O 0.0307 0.4886 0.7603  4 Dy 2.24-2.32
19 O 0.0421 0.2717 0.0114  4 Dy 2.24-2.32
20 O 0.2283 0.2704 0.7397  4 Dy 2.24-2.32
21 O 0.2296 0.4579 0.4693  4 Dy 2.24-2.32
22 O 0.2397 0.9693 0.5114  4 Dy 2.24-2.32
23 O 0.2603 0.7717 0.7296  4 Dy 2.24-2.32
24 O 0.2704 0.7397 0.2283  4 Dy 2.24-2.32
25 O 0.2717 0.0114 0.0421  4 Dy 2.24-2.32
26 O 0.4579 0.4693 0.2296  4 Dy 2.24-2.32
27 O 0.4693 0.2296 0.4579  4 Dy 2.24-2.32
28 O 0.4886 0.7603 0.0307  4 Dy 2.24-2.32
29 O 0.5114 0.2397 0.9693  4 Dy 2.24-2.32
30 O 0.5307 0.7704 0.5421  4 Dy 2.24-2.32
31 O 0.5421 0.5307 0.7704  4 Dy 2.24-2.32
32 O 0.7283 0.9886 0.9579  4 Dy 2.24-2.32
33 O 0.7296 0.2603 0.7717  4 Dy 2.24-2.32
34 O 0.7397 0.2283 0.2704  4 Dy 2.24-2.32
35 O 0.7603 0.0307 0.4886  4 Dy 2.24-2.32
36 O 0.7704 0.5421 0.5307  4 Dy 2.24-2.32
37 O 0.7717 0.7296 0.2603  4 Dy 2.24-2.32
38 O 0.9579 0.7283 0.9886  4 Dy 2.24-2.32
39 O 0.9693 0.5114 0.2397  4 Dy 2.24-2.32
40 O 0.9886 0.9579 0.7283  4 Dy 2.24-2.32

---

AgPRu2: optimized geometry, GGA-PBEsol.

The value obtained for the energy is -7.4275 eV per atom. The value obtained for the formation energy is -0.066 eV/atom. The density of states at the Fermi level is 2.391 states/eV per cell. The value obtained for the spin magnetization is 0.000 Bohr magnetons per cell. Its space-group type is R-3m (166).

Lattice parameters (Å, degrees): 8.3024 8.3024 8.3024 19.43 19.43 19.43
With the nearest neighbours (Å) after each atom.
Fractional positions:
1 Ag 0.0000 0.0000 0.0000  6 Ag 2.80, 6 Ru 2.87
2 P 0.5000 0.5000 0.5000  6 Ru 2.34
3 Ru 0.2362 0.2362 0.2362  3 P 2.34
4 Ru 0.7638 0.7638 0.7638  3 P 2.34

---

> Which formula does entry 1 have?

ReTcHg2Pb